TmPuCd4: relaxed, PBE.

## Properties
D(E_F) = 13.64 states/eV/f.u.
SG = Cmcm, No. 63
energy above the lowest structure with this stoichiometry = 0.000 eV/atom
density = 9.83 g/cm³
formation energy = -0.16 eV per atom

a b c (Å): 5.0625 6.5865 9.3415
angles (deg): 69.36 90.00 90.00
Each line ends with the local moment (μB).
Positions (direct):
1 Cd 0.7500 0.0428 0.9162  0.00
2 Cd 0.2500 0.7890 0.4174  0.00
3 Cd 0.2500 0.2936 0.4174  0.00
4 Cd 0.2500 0.9572 0.0838  0.00
5 Cd 0.7500 0.2110 0.5826  0.00
6 Cd 0.7500 0.7064 0.5826  0.00
7 Pu 0.2500 0.8748 0.7505  5.52
8 Tm 0.7500 0.6268 0.2464  0.21
9 Pu 0.7500 0.1252 0.2495  5.52
10 Cd 0.2500 0.4591 0.0838  0.00
11 Cd 0.7500 0.5409 0.9162  0.00
12 Tm 0.2500 0.3732 0.7536  0.21


ScAs2Br: relaxed, PBE.

## Properties
D(E_F) = 0.66 states/eV/f.u.
SG = Pm, No. 6
energy above the lowest structure with this stoichiometry = 0.000 eV/atom
density = 4.26 g/cm³
uncorrected formation energy = -803 meV per atom

a b c (Å): 3.7216 3.7708 7.8098
angles (deg): 77.71 90.00 90.00
Positions (direct):
1 As 0.5000 0.3184 0.0425
2 As 0.0000 0.7570 0.0703
3 Sc 0.5000 0.9228 0.7780
4 Br 0.0000 0.5018 0.6092


K3Nd2ScO6: relaxed, PBE.

## Properties
D(E_F) = 0.00 states/eV/f.u.
SG = C2/m, No. 12
density = 4.51 g/cm³
uncorrected formation energy = -2627 meV per atom

a b c (Å): 6.0912 6.0912 6.5846
angles (deg): 98.82 98.82 120.04
Positions (direct):
1 K 0.1614 0.8386 0.5000
2 K 0.8386 0.1614 0.5000
3 O 0.7520 0.7520 0.1850
4 K 0.5000 0.5000 0.5000
5 Nd 0.3331 0.6669 0.0000
6 O 0.9382 0.6287 0.8137
7 O 0.6287 0.9382 0.8137
8 Nd 0.6669 0.3331 0.0000
9 Sc 0.0000 0.0000 0.0000
10 O 0.3713 0.0618 0.1863
11 O 0.0618 0.3713 0.1863
12 O 0.2480 0.2480 0.8150


CrAgSe2: relaxed, PBE.

## Properties
D(E_F) = 2.29 states/eV/f.u.
SG = Pmmm, No. 47
density = 5.60 g/cm³
uncorrected formation energy = 89 meV per atom

a b c (Å): 3.7101 7.0415 3.6070
angles (deg): 90.00 90.00 90.00
Each line ends with the local moment (μB).
Positions (direct):
1 Se 0.0000 0.0000 0.0000  -0.05
2 Cr 0.0000 0.5000 0.5000  3.62
3 Ag 0.5000 0.0000 0.5000  0.00
4 Se 0.5000 0.5000 0.0000  -0.18